Record 1
Density functional theory data (GGA-PBE) for a relaxed Sm2AlCu7 crystal.

The structure in POSCAR format:
```
Sm2AlCu7
1.0
-0.653 2.170 -3.318
3.081 -1.838 -1.809
-6.494 -7.385 -3.553
Sm Al Cu
2 1 7
direct
0.500 0.000 0.744
0.000 0.500 0.256
0.500 0.500 0.000
0.000 0.500 0.861
0.500 0.000 0.368
0.500 0.000 0.139
0.000 0.500 0.632
0.000 0.000 0.500
0.000 0.000 0.000
0.500 0.500 0.500
```

Formation enthalpy at 0 K   -0.19 eV/atom


Record 2
Density functional theory data (GGA-PBE) for a relaxed SmAl2Cu9 crystal.

The structure in POSCAR format:
```
SmAl2Cu9
1.0
0.224 -6.495 -1.242
5.242 -2.134 -5.517
5.127 -4.045 4.452
Sm Al Cu
2 4 18
direct
0.500 0.000 0.000
0.250 0.500 0.500
0.875 0.250 0.750
0.875 0.750 0.250
0.875 0.250 0.250
0.375 0.750 0.750
0.750 0.500 0.500
0.000 0.000 0.000
0.014 0.915 0.670
0.599 0.085 0.330
0.679 0.170 0.585
0.434 0.830 0.415
0.736 0.830 0.585
0.151 0.170 0.415
0.071 0.915 0.330
0.316 0.085 0.670
0.736 0.585 0.830
0.151 0.415 0.170
0.071 0.330 0.915
0.316 0.670 0.085
0.014 0.670 0.915
0.599 0.330 0.085
0.679 0.585 0.170
0.434 0.415 0.830
```

Formation enthalpy at 0 K   -0.20 eV/atom
Distance to the lowest polymorph of the same formula   0.0 meV per atom


Record 3
Density functional theory data (GGA-PBE) for a relaxed Sm2AlCu16 crystal.

The structure in POSCAR format:
```
Sm2AlCu16
1.0
-6.252 1.327 1.261
-2.319 -6.023 -0.887
0.013 -1.821 6.255
Sm Al Cu
2 1 16
direct
0.648 0.648 0.648
0.340 0.340 0.340
0.902 0.902 0.902
0.707 0.001 0.296
0.001 0.296 0.707
0.296 0.707 0.001
0.001 0.707 0.296
0.707 0.296 0.001
0.296 0.001 0.707
0.346 0.848 0.346
0.848 0.346 0.346
0.346 0.346 0.848
0.654 0.152 0.654
0.152 0.654 0.654
0.654 0.654 0.152
0.000 0.503 0.000
0.503 0.000 0.000
0.000 0.000 0.503
0.098 0.098 0.098
```

Formation enthalpy at 0 K   -0.14 eV/atom


Record 4
Density functional theory data (GGA-PBE) for a relaxed SmAl8Cu4 crystal.

The structure in POSCAR format:
```
SmAl8Cu4
1.0
6.767 -0.010 0.000
-4.800 4.770 0.000
-0.984 -2.380 6.258
Sm Al Cu
1 8 4
direct
0.000 0.000 0.000
0.000 0.348 0.348
0.348 0.000 0.348
0.652 0.000 0.652
0.000 0.652 0.652
0.500 0.719 0.219
0.719 0.500 0.219
0.281 0.500 0.781
0.500 0.281 0.781
0.000 0.000 0.500
0.000 0.500 0.000
0.500 0.000 0.000
0.500 0.500 0.500
```

Formation enthalpy at 0 K   -0.32 eV/atom


Record 5
Density functional theory data (GGA-PBE) for a relaxed Sm6AlCu5 crystal.

The structure in POSCAR format:
```
Sm6AlCu5
1.0
4.911 0.002 -1.020
-0.003 7.205 -0.001
-0.898 0.000 7.924
Cu Al Sm
5 1 6
direct
0.667 0.500 0.334
0.347 0.000 0.695
0.000 0.500 0.000
0.653 0.000 0.305
0.333 0.500 0.666
0.000 0.000 0.000
0.830 0.749 0.660
0.830 0.251 0.660
0.500 0.261 0.000
0.500 0.739 0.000
0.170 0.749 0.340
0.170 0.251 0.340
```

Formation enthalpy at 0 K   -0.20 eV/atom


Record 6
Density functional theory data (GGA-PBE) for a relaxed Sm8Al2Cu crystal.

The structure in POSCAR format:
```
Sm8Al2Cu
1.0
4.863 0.001 -1.479
-1.284 7.429 -4.219
-0.004 -0.079 8.708
Sm Al Cu
8 2 1
direct
0.658 0.876 0.315
0.342 0.562 0.685
0.134 0.133 0.267
0.000 0.326 0.000
0.866 0.867 0.733
0.658 0.438 0.315
0.342 0.124 0.685
0.000 0.674 0.000
0.198 0.698 0.396
0.802 0.302 0.604
0.500 0.000 0.000
```

Formation enthalpy at 0 K   -0.06 eV/atom
Distance to the lowest polymorph of the same formula   84.1 meV per atom


Record 7
Density functional theory data (GGA-PBE) for a relaxed SmAl3Cu crystal.

The structure in POSCAR format:
```
SmAl3Cu
1.0
4.679 0.000 0.000
0.000 6.573 0.000
0.000 0.000 6.558
Sm Al Cu
2 6 2
direct
0.500 0.000 0.000
0.500 0.500 0.500
0.500 0.500 0.000
0.500 0.000 0.500
0.000 0.750 0.250
0.000 0.250 0.250
0.000 0.250 0.750
0.000 0.750 0.750
0.000 0.500 0.000
0.000 0.000 0.500
```

Formation enthalpy at 0 K   -0.08 eV/atom
Distance to the lowest polymorph of the same formula   387.2 meV per atom


Record 8
Density functional theory data (GGA-PBE) for a relaxed Sm2AlCu9 crystal.

The structure in POSCAR format:
```
Sm2AlCu9
1.0
-4.413 2.045 1.453
-3.483 1.251 -3.474
-5.986 -6.568 -0.072
Sm Al Cu
2 1 9
direct
0.865 0.865 0.404
0.135 0.135 0.596
0.000 0.000 0.000
0.667 0.667 0.999
0.333 0.333 0.001
0.500 0.500 0.500
0.419 0.419 0.240
0.921 0.419 0.240
0.419 0.921 0.240
0.581 0.581 0.760
0.581 0.079 0.760
0.079 0.581 0.760
```

Formation enthalpy at 0 K   -0.06 eV/atom


Record 9
Density functional theory data (GGA-PBE) for a relaxed SmAl2Cu3 crystal.

The structure in POSCAR format:
```
SmAl2Cu3
1.0
-3.358 -3.838 -1.502
3.637 1.836 -3.416
5.217 -5.568 2.562
Sm Al Cu
2 4 6
direct
0.000 0.000 0.500
0.000 0.000 0.000
0.667 0.333 0.500
0.333 0.667 0.000
0.333 0.667 0.500
0.667 0.333 0.000
0.500 0.000 0.250
0.000 0.500 0.750
0.500 0.000 0.750
0.500 0.500 0.250
0.000 0.500 0.250
0.500 0.500 0.750
```

Formation enthalpy at 0 K   -0.33 eV/atom
Distance to the lowest polymorph of the same formula   3.5 meV per atom


Record 10
Density functional theory data (GGA-PBE) for a relaxed SmAl2Cu crystal.

The structure in POSCAR format:
```
SmAl2Cu
1.0
5.677 0.000 0.000
0.000 6.842 0.000
0.000 0.000 15.769
Sm Al Cu
8 16 8
direct
0.481 0.250 0.142
0.981 0.750 0.358
0.519 0.750 0.858
0.019 0.250 0.642
0.757 0.250 0.392
0.257 0.750 0.108
0.243 0.750 0.608
0.743 0.250 0.892
0.972 0.056 0.215
0.472 0.944 0.285
0.028 0.556 0.785
0.528 0.444 0.715
0.028 0.944 0.785
0.528 0.056 0.715
0.972 0.444 0.215
0.472 0.556 0.285
0.766 0.554 0.038
0.266 0.446 0.462
0.234 0.054 0.962
0.734 0.946 0.538
0.234 0.446 0.962
0.734 0.554 0.538
0.766 0.946 0.038
0.266 0.054 0.462
0.241 0.250 0.324
0.741 0.750 0.176
0.759 0.750 0.676
0.259 0.250 0.824
0.998 0.250 0.073
0.498 0.750 0.427
0.002 0.750 0.927
0.502 0.250 0.573
```

Formation enthalpy at 0 K   -0.41 eV/atom


Spin magnetization readings, ordered: 0.00, 0.00, 0.00, 0.00, 0.00, 0.00, 0.00, 0.00, 0.00, 0.00 μB/atom
VASP energy readings, ordered: -4.3709, -4.2845, -4.2875, -4.2416, -4.5805, -4.5423, -4.0879, -4.2320, -4.4142, -4.4859 eV/atom